# 1
The following is a DFT calculation (GGA-PBE) of a relaxed structure of Sm2HoMg.

Unit cell a=5.6363 b=5.6363 c=3.8367 alpha=90.00 beta=90.00 gamma=90.00
Fractional coordinates of all 4 atoms:
Sm: 0.0000 0.5000 0.0000
Sm: 0.5000 0.0000 0.0000
Ho: 0.0000 0.0000 0.5000
Mg: 0.5000 0.5000 0.5000

energy above the lowest structure with this stoichiometry: 0.045 eV per atom
E_tot: -15.5 eV/cell
ρ: 6.7 Mg/m³
symmetry: P4/mmm (123)
DFT formation energy: 0.017 eV/atom



# 2
The following is a DFT calculation (GGA-PBE) of a relaxed structure of Hf3HgC.

Unit cell a=7.4725 b=7.4725 c=7.4725 alpha=142.03 beta=67.59 gamma=126.36
Fractional coordinates of all 10 atoms:
Hf: 0.1615 0.4115 0.7500
Hf: 0.2335 0.1123 0.1211
Hf: 0.4912 0.1123 0.3789
Hf: 0.5088 0.8877 0.6211
Hf: 0.7665 0.8877 0.8789
Hf: 0.8385 0.5885 0.2500
Hg: 0.0000 0.5000 0.5000
Hg: 0.5000 0.5000 0.0000
C: 0.1546 0.9046 0.2500
C: 0.8454 0.0954 0.7500

energy above the lowest structure with this stoichiometry: 0.448 eV per atom
E_tot: -79.4 eV/cell
ρ: 12.2 Mg/m³
symmetry: Imma (74)
DFT formation energy: -0.061 eV/atom



# 3
The following is a DFT calculation (GGA-PBE) of a relaxed structure of NaHfPAu2.

Unit cell a=4.7394 b=4.7394 c=4.8126 alpha=90.00 beta=90.00 gamma=90.00
Fractional coordinates of all 5 atoms:
Na: 0.0000 0.0000 0.0000
Hf: 0.5000 0.5000 0.0000
P: 0.0000 0.0000 0.5000
Au: 0.0000 0.5000 0.5000
Au: 0.5000 0.0000 0.5000

E_tot: -20.5 eV/cell
ρ: 9.6 Mg/m³
symmetry: P4/mmm (123)
DFT formation energy: 0.539 eV/atom